# RbFeS2O8

Crystalline RbFeS2O8 at its relaxed geometry (PBE with a Hubbard U, Alexandria).

## Properties
**Symmetry**: P-3m1 (164)
**E_tot**: -73.2 eV per cell
**M_tot**: 5.0 μB/f.u.

```
RbFeS2O8
1.0
-0.2921 2.0160 -4.7601
-4.2662 -1.8039 2.3138
-1.3933 7.4544 3.2425
O S Fe Rb
8 2 1 1
Direct
0.1770 0.3538 0.1486 O
0.6462 0.8231 0.1486 O
0.3538 0.1770 0.8514 O
0.1769 0.8230 0.1486 O
0.8231 0.6462 0.8514 O
0.8230 0.1769 0.8514 O
0.3333 0.6667 0.3865 O
0.6667 0.3333 0.6135 O
0.3333 0.6667 0.2097 S
0.6667 0.3333 0.7903 S
0.0000 0.0000 0.0000 Fe
0.0000 0.0000 0.5000 Rb
```